1.
Na2La3SmTe6: relaxed, GGA-PBE.

Values from the calculation:
**Density**: 5.698 g/cm3
**SG**: No. 12
**Energy relative to the elements, uncorrected**: -1433 meV per atom
**Final energy**: -4.85 eV/atom
**Size of the total moment**: 0.000 μB per atom

abc: 7.9168 7.9168 7.8529
angles: 99.67 99.67 119.94
With the nearest neighbours (Å) after each atom.
Fractional positions:
Na1 0.1659 0.8341 0.0000  6 Te 3.20-3.22
Na2 0.8341 0.1659 0.0000  6 Te 3.20-3.22
La1 0.0000 0.0000 0.5000  6 Te 3.24-3.26
La2 0.3306 0.6694 0.5000  6 Te 3.24-3.25
La3 0.6694 0.3306 0.5000  6 Te 3.24-3.25
Sm1 0.5000 0.5000 0.0000  6 Te 3.17-3.18
Te1 0.0891 0.4190 0.7571  1 Sm 3.17, 2 Na 3.20-3.21, 3 La 3.24-3.25
Te2 0.2534 0.2534 0.2473  1 Sm 3.18, 2 Na 3.22, 3 La 3.25-3.26
Te3 0.4190 0.0891 0.7571  1 Sm 3.17, 2 Na 3.20-3.21, 3 La 3.24-3.25
Te4 0.5810 0.9109 0.2429  1 Sm 3.17, 2 Na 3.20-3.21, 3 La 3.24-3.25
Te5 0.7466 0.7466 0.7527  1 Sm 3.18, 2 Na 3.22, 3 La 3.25-3.26
Te6 0.9109 0.5810 0.2429  1 Sm 3.17, 2 Na 3.20-3.21, 3 La 3.24-3.25

2.
NaLa2SmTe4: relaxed, GGA-PBE.

Values from the calculation:
**Density**: 6.032 g/cm3
**SG**: No. 10
**Energy relative to the elements, uncorrected**: -1453 meV per atom
**Final energy**: -5.01 eV/atom
**Size of the total moment**: 0.000 μB per atom

abc: 7.8042 4.5338 7.9312
angles: 90.00 109.38 90.00
With the nearest neighbours (Å) after each atom.
Fractional positions:
Na1 0.0000 0.0000 0.0000  6 Te 3.17-3.19
La1 0.5000 0.0000 0.5000  6 Te 3.24-3.25
La2 0.5000 0.5000 0.0000  6 Te 3.25
Sm1 0.0000 0.5000 0.5000  6 Te 3.17
Te1 0.2409 0.0000 0.7475  1 Na 3.17, 2 Sm 3.17, 3 La 3.25
Te2 0.2431 0.5000 0.2493  1 Sm 3.17, 2 Na 3.19, 3 La 3.24-3.25
Te3 0.7569 0.5000 0.7507  1 Sm 3.17, 2 Na 3.19, 3 La 3.24-3.25
Te4 0.7591 0.0000 0.2525  1 Na 3.17, 2 Sm 3.17, 3 La 3.25

3.
Na2LaSmTe4: relaxed, GGA-PBE.

Values from the calculation:
**Density**: 5.134 g/cm3
**SG**: No. 10
**Energy relative to the elements, uncorrected**: -1365 meV per atom
**Final energy**: -4.47 eV/atom
**Size of the total moment**: 0.000 μB per atom

abc: 7.9255 4.5747 7.9945
angles: 90.00 109.33 90.00
With the nearest neighbours (Å) after each atom.
Fractional positions:
Na1 0.0000 0.0000 0.0000  6 Te 3.32-3.33
Na2 0.5000 0.5000 0.0000  6 Te 3.27
La1 0.0000 0.5000 0.5000  6 Te 3.22-3.23
Sm1 0.5000 0.0000 0.5000  6 Te 3.16-3.17
Te1 0.2530 0.0000 0.7403  1 Sm 3.16, 2 La 3.22, 3 Na 3.27-3.33
Te2 0.2596 0.5000 0.2624  2 Sm 3.17, 1 La 3.23, 3 Na 3.27-3.32
Te3 0.7404 0.5000 0.7376  2 Sm 3.17, 1 La 3.23, 3 Na 3.27-3.32
Te4 0.7470 0.0000 0.2597  1 Sm 3.16, 2 La 3.22, 3 Na 3.27-3.33

4.
NaLaSm2Te4: relaxed, GGA-PBE.

Values from the calculation:
**Density**: 6.231 g/cm3
**SG**: No. 10
**Energy relative to the elements, uncorrected**: -1417 meV per atom
**Final energy**: -4.95 eV/atom
**Size of the total moment**: 0.000 μB per atom

abc: 7.7705 4.4729 7.8912
angles: 90.00 109.02 90.00
With the nearest neighbours (Å) after each atom.
Fractional positions:
Na1 0.0000 0.0000 0.0000  6 Te 3.19-3.21
La1 0.5000 0.5000 0.0000  6 Te 3.23
Sm1 0.0000 0.5000 0.5000  6 Te 3.15
Sm2 0.5000 0.0000 0.5000  6 Te 3.17-3.19
Te1 0.2441 0.0000 0.7442  3 Sm 3.15-3.19, 1 Na 3.19, 2 La 3.23
Te2 0.2497 0.5000 0.2557  3 Sm 3.15-3.17, 2 Na 3.21, 1 La 3.23
Te3 0.7503 0.5000 0.7443  3 Sm 3.15-3.17, 2 Na 3.21, 1 La 3.23
Te4 0.7559 0.0000 0.2558  3 Sm 3.15-3.19, 1 Na 3.19, 2 La 3.23